Record 1
Compound: BeCrTe3
Source: the Alexandria database
Functional: GGA-PBE
Structure: optimized geometry

Unit cell a=4.909 b=4.909 c=4.909 alpha=90.00 beta=90.00 gamma=90.00
Positions (direct):
Cr: 0.500 0.500 0.500
Te: 0.000 0.500 0.000
Te: 0.000 0.000 0.500
Te: 0.500 0.000 0.000
Be: 0.000 0.000 0.000

Crystal system: cubic
Final energy (eV for the cell shown): -17.61
Formation energy without anion corrections (eV per atom): 1.03
Spin magnetization (μB per cell): 0.51



Record 2
Compound: Hg4SI2F
Source: the Alexandria database
Functional: GGA-PBE
Structure: optimized geometry

Unit cell a=9.144 b=6.981 c=8.884 alpha=90.00 beta=90.00 gamma=90.00
Positions (direct):
Hg: 0.252 0.983 0.000
Hg: 0.752 0.017 0.500
Hg: 0.381 0.228 0.500
Hg: 0.881 0.772 0.000
Hg: 0.441 0.810 0.790
Hg: 0.941 0.190 0.290
Hg: 0.941 0.190 0.710
Hg: 0.441 0.810 0.210
S: 0.495 0.883 0.500
S: 0.995 0.117 0.000
I: 0.430 0.371 0.212
I: 0.430 0.371 0.788
I: 0.930 0.629 0.712
I: 0.930 0.629 0.288
F: 0.130 0.198 0.500
F: 0.630 0.802 0.000

Crystal system: orthorhombic
Final energy (eV for the cell shown): -26.22
Formation energy without anion corrections (eV per atom): -0.35
Spin magnetization (μB per cell): 0.00



Record 3
Compound: Mn2CoAs
Source: the Alexandria database
Functional: GGA-PBE
Structure: optimized geometry

Unit cell a=7.914 b=7.914 c=7.914 alpha=20.33 beta=20.33 gamma=20.33
Positions (direct):
As: 0.497 0.497 0.497
Co: 0.750 0.750 0.750
Mn: 0.001 0.001 0.001
Mn: 0.251 0.251 0.251

Energy relative to the elements (eV per atom): 0.180
Crystal system: trigonal
Final energy (eV for the cell shown): -29.37
Spin magnetization (μB per cell): 1.66



Record 4
Compound: Sn5S4Br
Source: the Alexandria database
Functional: GGA-PBE
Structure: optimized geometry

Unit cell a=3.994 b=7.258 c=9.714 alpha=81.51 beta=78.14 gamma=74.03
Positions (direct):
Sn: 0.206 0.908 0.681
Sn: 0.794 0.092 0.319
Sn: 0.388 0.345 0.878
Sn: 0.000 0.500 0.500
Sn: 0.612 0.655 0.122
S: 0.601 0.199 0.598
S: 0.197 0.397 0.209
S: 0.803 0.603 0.791
S: 0.399 0.801 0.402
Br: 0.000 0.000 0.000

Crystal system: monoclinic
Final energy (eV for the cell shown): -41.79
Formation energy without anion corrections (eV per atom): -0.36
Spin magnetization (μB per cell): 0.00



Record 5
Compound: TbDy2Ni
Source: the Alexandria database
Functional: GGA-PBE
Structure: optimized geometry

Unit cell a=3.437 b=3.437 c=8.683 alpha=90.00 beta=90.00 gamma=90.00
Positions (direct):
Ni: 0.500 0.500 0.000
Tb: 0.500 0.500 0.500
Dy: 0.000 0.000 0.814
Dy: 0.000 0.000 0.186

Energy relative to the elements (eV per atom): -0.164
Crystal system: tetragonal
Final energy (eV for the cell shown): -20.27
Spin magnetization (μB per cell): 0.00



Record 6
Compound: Th3SbPRu
Source: the Alexandria database
Functional: GGA-PBE
Structure: optimized geometry

Unit cell a=4.105 b=8.571 c=10.207 alpha=119.13 beta=90.00 gamma=90.00
Positions (direct):
Th: 0.250 0.727 0.483
Th: 0.750 0.933 0.129
Th: 0.750 0.469 0.138
Th: 0.750 0.273 0.517
Th: 0.250 0.531 0.862
Th: 0.250 0.067 0.871
Sb: 0.750 0.729 0.746
Sb: 0.250 0.271 0.254
P: 0.250 0.741 0.203
P: 0.750 0.259 0.797
Ru: 0.250 0.111 0.619
Ru: 0.750 0.889 0.381

Crystal system: monoclinic
Final energy (eV for the cell shown): -92.11
Formation energy without anion corrections (eV per atom): -0.83
Spin magnetization (μB per cell): 0.00



> What is the final energy in the fifth record?

-20.27 eV for the cell shown